Record 1
! RbCuB2 | Alexandria via LeMat-Bulk | PBE | optimized geometry; values from VASP
! Energy above the lowest structure with this stoichiometry, meV per atom: 1121
! Fermi-level density of states, states/eV/cell: 2.46
! Crystal system: cubic
! DFT total energy, eV per atom: -2.4795
! Volume, Å³ per cell: 66.04
! Space-group type: No. 225
! Formation energy from the elements, eV per atom: 2.125
&SYSTEM
  ibrav = 0, nat = 4, ntyp = 3
/
ATOMIC_SPECIES
Rb 85.47 Rb.upf
Cu 63.55 Cu.upf
B 10.81 B.upf
CELL_PARAMETERS angstrom
0.000 3.208 3.208
3.208 0.000 3.208
3.208 3.208 0.000
ATOMIC_POSITIONS angstrom
Rb 0.000 0.000 0.000
Cu 3.208 3.208 3.208
B 1.604 1.604 1.604
B 4.812 4.812 4.812



Record 2
! In2SbP | Alexandria via LeMat-Bulk | PBE | optimized geometry; values from VASP
! Energy above the lowest structure with this stoichiometry, meV per atom: 382
! Fermi-level density of states, states/eV/cell: 1.77
! Crystal system: orthorhombic
! DFT total energy, eV per atom: -3.5140
! Volume, Å³ per cell: 98.12
! Space-group type: No. 65
! Formation energy from raw total energies, eV per atom: 0.2383
&SYSTEM
  ibrav = 0, nat = 4, ntyp = 3
/
ATOMIC_SPECIES
In 114.82 In.upf
Sb 121.76 Sb.upf
P 30.97 P.upf
CELL_PARAMETERS angstrom
2.083 -2.774 0.000
2.083 2.774 0.000
0.000 0.000 8.488
ATOMIC_POSITIONS angstrom
In 0.000 0.000 1.802
In 0.000 0.000 6.686
Sb 2.083 0.000 4.244
P 2.083 0.000 0.000



Record 3
! La6NdTm2 | Alexandria via LeMat-Bulk | PBE | optimized geometry; values from VASP
! Fermi-level density of states, states/eV/cell: 13.74
! Crystal system: orthorhombic
! DFT total energy, eV per atom: -4.6934
! Volume, Å³ per cell: 315.44
! Space-group type: No. 65
! Formation energy from the elements, eV per atom: 0.115
&SYSTEM
  ibrav = 0, nat = 9, ntyp = 3
/
ATOMIC_SPECIES
La 138.91 La.upf
Nd 144.24 Nd.upf
Tm 168.93 Tm.upf
CELL_PARAMETERS angstrom
4.750 -8.967 0.000
4.750 8.967 0.000
0.000 0.000 3.703
ATOMIC_POSITIONS angstrom
La 1.643 2.983 0.000
La 1.653 0.000 1.852
La 1.643 -2.983 0.000
La 7.856 2.983 0.000
La 7.847 0.000 1.852
La 7.856 -2.983 0.000
Nd 4.750 0.000 0.000
Tm 4.750 3.172 1.852
Tm 4.750 -3.172 1.852



Record 4
! ScVI6 | Alexandria via LeMat-Bulk | PBE | optimized geometry; values from VASP
! Fermi-level density of states, states/eV/cell: 6.16
! Crystal system: monoclinic
! DFT total energy, eV per atom: -3.8520
! Volume, Å³ per cell: 323.36
! Space-group type: No. 12
! Formation energy from raw total energies, eV per atom: -0.7581
&SYSTEM
  ibrav = 0, nat = 8, ntyp = 3
/
ATOMIC_SPECIES
Sc 44.96 Sc.upf
V 50.94 V.upf
I 126.90 I.upf
CELL_PARAMETERS angstrom
3.484 -7.054 0.000
3.484 7.054 0.000
-2.296 0.000 6.578
ATOMIC_POSITIONS angstrom
Sc 0.000 0.000 0.000
V 2.336 0.000 3.289
I 1.208 1.991 1.686
I 0.076 0.000 4.882
I 1.208 -1.991 1.686
I 3.464 1.991 4.892
I 4.596 0.000 1.696
I 3.464 -1.991 4.892



What is the formula in the second record? In2SbP